First-principles (PBE-GGA) data for a geometry-optimized ThBeSn structure, as listed in the Alexandria database.

E_form   -0.403 eV/atom
Density   8.81 g/cm3
DFT total energy   -5.453 eV/atom
Symmetry   P3m1, No. 156

Cell: 4.3898 4.2228 7.3144 Å, 90.00 90.00 90.00°
With the nearest neighbours (Å) after each atom.
Element x y z (fractional)
1 Sn 0.5100 0.5000 0.5362  3 Be 2.44
2 Sn 0.5101 0.0000 0.0362  3 Be 2.44
3 Th 0.0099 0.5000 0.2029  6 Be 3.28-3.29, 6 Sn 3.28
4 Th 0.0099 0.0000 0.7029  6 Be 3.28, 6 Sn 3.28
5 Be 0.5085 0.5000 0.8695  3 Sn 2.44
6 Be 0.5088 0.0000 0.3695  3 Sn 2.44